First-principles (GGA-PBE) data for a relaxed MgAlOs4 crystal, as listed in the Alexandria database.

magnetization: 0.00 μB per cell
energy of formation: 0.368 eV/atom

Cell: 5.167 5.167 5.167 Å, 60.00 60.00 60.00°
Element x y z (fractional)
Mg1 0.000 0.000 0.000
Al1 0.750 0.750 0.750
Os1 0.375 0.375 0.375
Os2 0.375 0.375 0.875
Os3 0.375 0.875 0.375
Os4 0.875 0.375 0.375



First-principles (GGA-PBE) data for a relaxed Tb2Nd5Sb5 crystal, as listed in the Alexandria database.

magnetization: 0.00 μB per cell
uncorrected formation energy: -0.9135 eV/atom

Cell: 7.653 7.653 12.891 Å, 108.96 108.96 33.85°
Element x y z (fractional)
Tb1 0.044 0.044 0.288
Tb2 0.956 0.956 0.712
Nd1 0.272 0.272 0.154
Nd2 0.340 0.340 0.460
Nd3 0.500 0.500 0.000
Nd4 0.660 0.660 0.540
Nd5 0.728 0.728 0.846
Sb1 0.000 0.000 0.500
Sb2 0.117 0.117 0.926
Sb3 0.312 0.312 0.710
Sb4 0.688 0.688 0.290
Sb5 0.883 0.883 0.074



First-principles (GGA-PBE) data for a relaxed RbBaRe2O8 crystal, as listed in the Alexandria database.

magnetization: 1.10 μB per cell
uncorrected formation energy: -1.9368 eV/atom

Cell: 6.226 6.226 8.493 Å, 90.00 90.00 120.00°
Element x y z (fractional)
Rb1 0.000 0.000 0.000
Ba1 0.000 0.000 0.500
Re1 0.333 0.667 0.323
Re2 0.667 0.333 0.677
O1 0.176 0.351 0.259
O2 0.176 0.824 0.259
O3 0.333 0.667 0.531
O4 0.351 0.176 0.741
O5 0.649 0.824 0.259
O6 0.667 0.333 0.469
O7 0.824 0.176 0.741
O8 0.824 0.649 0.741



First-principles (GGA-PBE) data for a relaxed AgPtSN2 crystal, as listed in the Alexandria database.

magnetization: 0.23 μB per cell
excess energy over the best structure of this formula in the dataset: 0 meV/atom
uncorrected formation energy: 1.1390 eV/atom

Cell: 3.709 3.709 7.626 Å, 90.00 90.00 90.00°
Element x y z (fractional)
Ag1 0.000 0.000 0.000
Pt1 0.500 0.500 0.500
S1 0.500 0.500 0.000
N1 0.000 0.500 0.500
N2 0.500 0.000 0.500



| no. | V (Å³/cell) |
| --- | --- |
| 1 | 97.5 |
| 2 | 395.5 |
| 3 | 285.1 |
| 4 | 104.9 |